CaNd2TlO6: optimized geometry, PBE.

Properties
The density of states at the Fermi level is 0.814 states/eV/atom. The formation energy (no corrections) is -2.3207 eV per atom. As for the calculated volume: 16.04 Å³ per atom.

Cell lengths 5.9834, 5.9834, 15.5243 Å; angles 90.00, 90.00, 120.00 degrees
Space group R3 (No. 146, hexagonal axes)
Symmetry-distinct sites (fractional):
Ca: 0.0000 0.0000 0.0000
Nd: 0.0000 0.0000 0.2199
Nd: 0.0000 0.0000 0.7200
Tl: 0.0000 0.0000 0.5030
O: 0.0069 0.7170 0.6073
O: 0.0217 0.3040 0.1070

Ca2NdTlO: optimized geometry, PBE.

Properties
The density of states at the Fermi level is 0.244 states/eV/atom. The formation energy (no corrections) is -1.3865 eV per atom. As for the calculated volume: 23.81 Å³ per atom.

Cell lengths 4.8607, 4.8607, 5.0392 Å; angles 90.00, 90.00, 90.00 degrees
Space group P4/mmm (No. 123)
Symmetry-distinct sites (fractional):
Ca: 0.0000 0.5000 0.0000
Nd: 0.0000 0.0000 0.5000
Tl: 0.5000 0.5000 0.5000
O: 0.0000 0.0000 0.0000

CaNd2ZrO6: optimized geometry, PBE.

Properties
The density of states at the Fermi level is 0.000 states/eV/atom. The formation energy (no corrections) is -3.2824 eV per atom. As for the calculated volume: 15.19 Å³ per atom.

Cell lengths 5.8968, 5.8968, 15.1283 Å; angles 90.00, 90.00, 120.00 degrees
Space group R3 (No. 146, hexagonal axes)
Symmetry-distinct sites (fractional):
Ca: 0.0000 0.0000 0.0000
Nd: 0.0000 0.0000 0.2763
Nd: 0.0000 0.0000 0.7766
Zr: 0.0000 0.0000 0.4947
O: 0.0516 0.3390 0.5584
O: 0.0648 0.6821 0.0645

Question: The highest formation energy (no corrections) belongs to which entry?
Answer: Ca2NdTlO